# 1
Compound: KMnCu2
Source: Alexandria via LeMat-Bulk
Functional: PBE-GGA
Structure: relaxed

a b c (Å): 4.443 5.650 7.233
angles (deg): 90.00 90.00 90.00
Space group Immm (No. 71)
Symmetry-distinct sites (fractional):
K: 0.000 0.000 0.000
Mn: 0.000 0.000 0.500
Cu: 0.000 0.500 0.175

Output
Its energy of formation is 0.756 eV/atom. The calculation puts the polymorph energy (0 for the lowest one) at 340 meV per atom.

***

# 2
Compound: LiYRh2W
Source: Alexandria via LeMat-Bulk
Functional: PBE-GGA
Structure: relaxed

a b c (Å): 4.812 4.812 4.424
angles (deg): 90.00 90.00 90.00
Space group P4/mmm (No. 123)
Symmetry-distinct sites (fractional):
Li: 0.000 0.000 0.000
Y: 0.000 0.000 0.500
Rh: 0.000 0.500 0.500
W: 0.500 0.500 0.000

Output
Its energy of formation is 1.575 eV/atom.

***

# 3
Compound: CsLiCd2Ge
Source: Alexandria via LeMat-Bulk
Functional: PBE-GGA
Structure: relaxed

a b c (Å): 5.696 5.696 5.215
angles (deg): 90.00 90.00 90.00
Space group P4/mmm (No. 123)
Symmetry-distinct sites (fractional):
Cs: 0.000 0.000 0.000
Li: 0.500 0.500 0.000
Cd: 0.000 0.500 0.500
Ge: 0.500 0.500 0.500

Output
Its energy of formation is 0.014 eV/atom.

***

# 4
Compound: Sm3Ge2Se
Source: Alexandria via LeMat-Bulk
Functional: PBE-GGA
Structure: relaxed

a b c (Å): 4.217 4.217 17.892
angles (deg): 90.00 90.00 90.00
Space group I4/mmm (No. 139)
Symmetry-distinct sites (fractional):
Sm: 0.000 0.000 0.000
Sm: 0.000 0.000 0.334
Ge: 0.000 0.000 0.165
Se: 0.000 0.000 0.500

Output
As for the formation energy from raw total energies: -1.18 eV/atom.

***

Going through the records in order, we get magnetic moment values of 9.0 3.5 0.0 0.0 μB/cell.
Going through the records in order, we get uncorrected energy values of -30.87 -28.16 -9.14 -67.85 eV/cell.
Going through the records in order, we get V values of 22.7 20.5 33.8 26.5 Å³ per atom.